No. 1
This record from Alexandria describes an optimized crystal structure of Th3Nb5Se12. The functional is PBE.

POSCAR file:
```
Th3Nb5Se12
1.0
13.9954 0.0000 0.0000
-4.6651 13.1950 0.0000
-4.6651 -6.5975 11.4272
Th Nb Se
12 20 48
direct
0.7500 0.3750 0.1250
0.8750 0.7500 0.1250
0.3750 0.7500 0.6250
0.2500 0.1250 0.3750
0.8750 0.1250 0.2500
0.3750 0.6250 0.2500
0.6250 0.3750 0.7500
0.1250 0.8750 0.7500
0.7500 0.8750 0.6250
0.6250 0.2500 0.3750
0.1250 0.2500 0.8750
0.2500 0.6250 0.8750
0.1250 0.3750 0.2500
0.0000 0.5000 0.0000
0.0000 0.0000 0.0000
0.3750 0.2500 0.1250
0.5000 0.0000 0.5000
0.5000 0.5000 0.0000
0.1250 0.7500 0.3750
0.7500 0.1250 0.8750
0.7500 0.6250 0.3750
0.3750 0.1250 0.7500
0.6250 0.8750 0.2500
0.5000 0.5000 0.5000
0.5000 0.0000 0.0000
0.0000 0.0000 0.5000
0.2500 0.3750 0.6250
0.2500 0.8750 0.1250
0.0000 0.5000 0.5000
0.8750 0.2500 0.6250
0.6250 0.7500 0.8750
0.8750 0.6250 0.7500
0.7145 0.1215 0.0373
0.3228 0.5373 0.4158
0.9627 0.3785 0.2855
0.5373 0.2145 0.1215
0.5930 0.7145 0.6772
0.9627 0.5842 0.1772
0.3228 0.7855 0.4070
0.0842 0.9070 0.1215
0.5842 0.9627 0.6772
0.7145 0.5930 0.1772
0.7855 0.4627 0.3785
0.8228 0.9158 0.0373
0.1215 0.7145 0.5373
0.3785 0.4158 0.0930
0.0930 0.9158 0.3785
0.4070 0.1215 0.5842
0.0930 0.1772 0.2145
0.4627 0.6772 0.0842
0.8228 0.9070 0.2855
0.1215 0.4070 0.0842
0.3785 0.9627 0.7855
0.5842 0.6215 0.4070
0.9158 0.8228 0.5373
0.7855 0.3228 0.9070
0.4158 0.3785 0.5930
0.0842 0.1772 0.4627
0.2145 0.6772 0.0930
0.1772 0.0930 0.7145
0.6215 0.0373 0.2145
0.8785 0.5930 0.9158
0.5373 0.3228 0.9158
0.5930 0.8785 0.4158
0.9070 0.8228 0.7855
0.9070 0.0842 0.6215
0.8785 0.2855 0.4627
0.1772 0.0842 0.9627
0.6215 0.5842 0.9070
0.4158 0.0373 0.3228
0.2855 0.4070 0.8228
0.2145 0.5373 0.6215
0.9158 0.0930 0.8785
0.6772 0.2145 0.5930
0.4627 0.7855 0.8785
0.0373 0.4158 0.8228
0.4070 0.2855 0.3228
0.0373 0.6215 0.7145
0.6772 0.4627 0.5842
0.2855 0.8785 0.9627
```

Output
space group	No. 230
calculated total energy	-6.5239	eV per atom
spin magnetization	31.60	μB per cell


No. 2
This record from Alexandria describes an optimized crystal structure of ThNbSe. The functional is PBE.

POSCAR file:
```
ThNbSe
1.0
-2.7376 -2.8645 -0.5014
0.7724 -0.0523 -3.9182
6.4604 -6.4122 1.3593
Nb Th Se
2 2 2
direct
0.0000 0.5000 0.5643
0.5000 0.0000 0.4357
0.0000 0.5000 0.2082
0.5000 0.0000 0.7918
0.5000 0.0000 0.1355
0.0000 0.5000 0.8645
```

Output
space group	No. 129
calculated total energy	-7.6924	eV per atom
spin magnetization	0.00	μB per cell


No. 3
This record from Alexandria describes an optimized crystal structure of ThNbSe2. The functional is PBE.

POSCAR file:
```
ThNbSe2
1.0
-3.1797 1.2447 0.2896
-2.3127 -0.6199 -2.4517
-4.5287 -7.7434 3.8346
Nb Se Th
1 2 1
direct
0.5000 0.5000 0.5000
0.1058 0.1058 0.6827
0.8942 0.8942 0.3173
0.0000 0.0000 0.0000
```

Output
space group	No. 166
calculated total energy	-6.7007	eV per atom
spin magnetization	0.00	μB per cell


No. 4
This record from Alexandria describes an optimized crystal structure of TiNb3Se. The functional is PBE.

POSCAR file:
```
TiNb3Se
1.0
4.7341 0.0000 0.0000
0.0000 4.7341 0.0000
0.0000 0.0000 4.7341
Nb Se Ti
3 1 1
direct
0.0000 0.5000 0.0000
0.0000 0.0000 0.5000
0.5000 0.0000 0.0000
0.0000 0.0000 0.0000
0.5000 0.5000 0.5000
```

Output
distance to the lowest polymorph of the same formula	0.0	meV per atom
space group	No. 221
spin magnetization	0.00	μB per cell